The following is a DFT calculation (GGA-PBE) of a relaxed CaSc2As crystal.

As for the crystal system: monoclinic. The total energy is -5.344 eV/atom.

a = 3.6370 Å, b = 3.6372 Å, c = 7.5126 Å
α = 90.00°, β = 90.05°, γ = 90.00°
Last column: nearest neighbours and their distance in Å.
Space group Pm (No. 6)
Unique sites:
1 Ca 0.0000 0.0000 0.0000 (multiplicity 1)  1 Sc 3.12, 4 As 3.25-3.26
2 Sc 0.0016 0.0000 0.5845 (multiplicity 1)  4 As 2.80-2.81, 1 Ca 3.12
3 Sc 0.5010 0.5000 0.3441 (multiplicity 1)  1 As 2.93, 4 Sc 3.14
4 As 0.5016 0.5000 0.7336 (multiplicity 1)  5 Sc 2.80-2.93


The following is a DFT calculation (GGA-PBE) of a relaxed NaNpHgBi crystal.

As for the crystal system: cubic. The total energy is -4.619 eV/atom.

a = 7.6300 Å, b = 7.6300 Å, c = 7.6300 Å
α = 90.00°, β = 90.00°, γ = 90.00°
Last column: nearest neighbours and their distance in Å.
Space group F-43m (No. 216)
Unique sites:
1 Na 0.0000 0.0000 0.0000 (multiplicity 4)  4 Bi 3.30, 4 Hg 3.30
2 Np 0.0000 0.0000 0.5000 (multiplicity 4)  4 Hg 3.30, 4 Bi 3.30
3 Hg 0.2500 0.2500 0.2500 (multiplicity 4)  4 Na 3.30, 4 Np 3.30
4 Bi 0.2500 0.2500 0.7500 (multiplicity 4)  4 Na 3.30, 4 Np 3.30


The following is a DFT calculation (GGA-PBE) of a relaxed U2Ni12P3Pd crystal.

As for the crystal system: trigonal. The total energy is -6.376 eV/atom.

a = 8.2934 Å, b = 8.2934 Å, c = 12.0833 Å
α = 90.00°, β = 90.00°, γ = 120.00°
Last column: nearest neighbours and their distance in Å.
Space group R-3m (No. 166, hexagonal axes)
Unique sites:
1 U 0.0000 0.0000 0.1012 (multiplicity 6)  3 Ni 2.37, 1 U 2.45
2 Ni 0.0163 0.5081 0.8217 (multiplicity 18)  1 P 2.16, 1 U 2.37
3 Ni 0.0408 0.5204 0.3837 (multiplicity 18)  2 P 2.34, 1 Ni 2.52
4 P 0.0000 0.5000 0.0000 (multiplicity 9)  6 Ni 2.16-2.34
5 Pd 0.0000 0.0000 0.5000 (multiplicity 3)  6 Ni 2.51


The following is a DFT calculation (GGA-PBE) of a relaxed NpUNi crystal.

As for the crystal system: orthorhombic. The total energy is -9.837 eV/atom.

a = 2.6727 Å, b = 4.5161 Å, c = 8.3942 Å
α = 90.00°, β = 90.00°, γ = 90.00°
Last column: nearest neighbours and their distance in Å.
Space group Pmmn (No. 59, origin choice 2)
Unique sites:
1 Np 0.2500 0.2500 0.2492 (multiplicity 2)  2 U 2.53, 2 Np 2.67, 2 Ni 2.78
2 U 0.2500 0.7500 0.1143 (multiplicity 2)  2 Np 2.53, 2 U 2.67
3 Ni 0.2500 0.7500 0.4605 (multiplicity 2)  6 Ni 2.67-2.71, 4 Np 2.78-2.87, 1 U 2.91


The following is a DFT calculation (GGA-PBE) of a relaxed ScTeO crystal.

As for the crystal system: monoclinic. The total energy is -6.970 eV/atom.

a = 6.4840 Å, b = 5.5003 Å, c = 7.0145 Å
α = 90.00°, β = 91.28°, γ = 90.00°
Last column: nearest neighbours and their distance in Å.
Space group P2_1/c (No. 14)
Unique sites:
1 Sc 0.1499 0.1026 0.3548 (multiplicity 4)  3 O 2.04-2.10
2 Te 0.4216 0.6978 0.6042 (multiplicity 4)  1 Te 2.82, 2 Sc 3.00-3.01
3 O 0.0650 0.1672 0.6378 (multiplicity 4)  3 Sc 2.04-2.10


The following is a DFT calculation (GGA-PBE) of a relaxed VGeH2 crystal.

As for the crystal system: trigonal. As for the energy above the most stable polymorph in this dataset: 0 meV per atom.

a = 2.8454 Å, b = 2.8454 Å, c = 17.4196 Å
α = 90.00°, β = 90.00°, γ = 120.00°
Last column: nearest neighbours and their distance in Å.
Space group R-3m (No. 166, hexagonal axes)
Unique sites:
1 V 0.0000 0.0000 0.0000 (multiplicity 3)  6 H 1.82
2 Ge 0.0000 0.0000 0.5000 (multiplicity 3)  2 H 2.13
3 H 0.0000 0.0000 0.3776 (multiplicity 6)  3 V 1.82